Computed, not measured: a geometry-optimized ScMn2Ni structure at the PBEsol level of DFT.

Cell and atoms, written as CIF:
```
data_ScMn2Ni
_space_group_name_H-M_alt 'F -4 3 m'
_space_group_IT_number 216
_space_group_name_Hall 'F -4 2 3'
_cell_length_a 5.9606
_cell_length_b 5.9606
_cell_length_c 5.9606
_cell_angle_alpha 90.00
_cell_angle_beta 90.00
_cell_angle_gamma 90.00
loop_
_atom_site_label
_atom_site_fract_x
_atom_site_fract_y
_atom_site_fract_z
Sc1 0.0000 0.0000 0.0000
Mn1 0.0000 0.0000 0.5000
Mn2 0.2500 0.2500 0.2500
Ni1 0.2500 0.2500 0.7500
```

DOS at the Fermi energy: 10.5 states/eV per cell
calculated formation energy: 18.1 meV per atom


Computed, not measured: a geometry-optimized Na2ScAsPt structure at the PBEsol level of DFT.

Cell and atoms, written as CIF:
```
data_Na2ScAsPt
_space_group_name_H-M_alt 'P 4/m m m'
_space_group_IT_number 123
_space_group_name_Hall '-P 4 2'
_cell_length_a 5.1634
_cell_length_b 5.1634
_cell_length_c 4.6485
_cell_angle_alpha 90.00
_cell_angle_beta 90.00
_cell_angle_gamma 90.00
loop_
_atom_site_label
_atom_site_fract_x
_atom_site_fract_y
_atom_site_fract_z
Na1 0.0000 0.5000 0.0000
Sc1 0.0000 0.0000 0.5000
As1 0.5000 0.5000 0.5000
Pt1 0.5000 0.5000 0.0000
```

DOS at the Fermi energy: 3.6 states/eV per cell
calculated formation energy: 237.1 meV per atom


Computed, not measured: a geometry-optimized BaTiSe2N structure at the PBEsol level of DFT.

Cell and atoms, written as CIF:
```
data_BaTiSe2N
_space_group_name_H-M_alt 'P 4/m m m'
_space_group_IT_number 123
_space_group_name_Hall '-P 4 2'
_cell_length_a 5.8182
_cell_length_b 5.8182
_cell_length_c 4.3946
_cell_angle_alpha 90.00
_cell_angle_beta 90.00
_cell_angle_gamma 90.00
loop_
_atom_site_label
_atom_site_fract_x
_atom_site_fract_y
_atom_site_fract_z
Ba1 0.0000 0.0000 0.0000
Ti1 0.5000 0.5000 0.5000
Se1 0.0000 0.5000 0.0000
N1 0.0000 0.0000 0.5000
```

energy relative to the elements, uncorrected: 1.0918 eV/atom
DOS at the Fermi energy: 7.6 states/eV per cell


Computed, not measured: a geometry-optimized ScCoAg2 structure at the PBEsol level of DFT.

Cell and atoms, written as CIF:
```
data_ScCoAg2
_space_group_name_H-M_alt 'I m m m'
_space_group_IT_number 71
_space_group_name_Hall '-I 2 2'
_cell_length_a 3.7737
_cell_length_b 3.8033
_cell_length_c 8.6105
_cell_angle_alpha 90.00
_cell_angle_beta 90.00
_cell_angle_gamma 90.00
loop_
_atom_site_label
_atom_site_fract_x
_atom_site_fract_y
_atom_site_fract_z
Sc1 0.0000 0.0000 0.0000
Co1 0.0000 0.0000 0.5000
Ag1 0.0000 0.5000 0.2492
```

DOS at the Fermi energy: 8.5 states/eV per cell
calculated formation energy: -56.3 meV per atom


Computed, not measured: a geometry-optimized NaNb3S structure at the PBEsol level of DFT.

Cell and atoms, written as CIF:
```
data_NaNb3S
_space_group_name_H-M_alt 'P m -3 m'
_space_group_IT_number 221
_space_group_name_Hall '-P 4 2 3'
_cell_length_a 4.6302
_cell_length_b 4.6302
_cell_length_c 4.6302
_cell_angle_alpha 90.00
_cell_angle_beta 90.00
_cell_angle_gamma 90.00
loop_
_atom_site_label
_atom_site_fract_x
_atom_site_fract_y
_atom_site_fract_z
Na1 0.0000 0.0000 0.0000
Nb1 0.0000 0.5000 0.5000
S1 0.5000 0.5000 0.5000
```

energy relative to the elements, uncorrected: 0.4140 eV/atom
DOS at the Fermi energy: 7.5 states/eV per cell


Computed, not measured: a geometry-optimized ScBe2As structure at the PBEsol level of DFT.

Cell and atoms, written as CIF:
```
data_ScBe2As
_space_group_name_H-M_alt 'R -3 m'
_space_group_IT_number 166
_space_group_name_Hall '-R 3 2"'
_cell_length_a 3.7517
_cell_length_b 3.7517
_cell_length_c 13.4747
_cell_angle_alpha 90.00
_cell_angle_beta 90.00
_cell_angle_gamma 120.00
loop_
_atom_site_label
_atom_site_fract_x
_atom_site_fract_y
_atom_site_fract_z
Sc1 0.0000 0.0000 0.0000
Be1 0.0000 0.0000 0.2106
As1 0.0000 0.0000 0.5000
```

DOS at the Fermi energy: 4.2 states/eV per cell
calculated formation energy: -52.6 meV per atom


Computed, not measured: a geometry-optimized ZnCuRh2 structure at the PBEsol level of DFT.

Cell and atoms, written as CIF:
```
data_ZnCuRh2
_space_group_name_H-M_alt 'C 1 m 1'
_space_group_IT_number 8
_cell_length_a 8.7203
_cell_length_b 2.7194
_cell_length_c 4.4653
_cell_angle_alpha 90.00
_cell_angle_beta 101.28
_cell_angle_gamma 90.00
loop_
_space_group_symop_operation_xyz
'x,y,z'
'x,-y,z'
'x+1/2,y+1/2,z'
'x+1/2,-y+1/2,z'
loop_
_atom_site_label
_atom_site_fract_x
_atom_site_fract_y
_atom_site_fract_z
Zn1 0.0000 0.0000 0.0000
Cu1 0.2498 0.0000 0.7720
Rh1 0.2518 0.5000 0.2744
Rh2 0.4989 0.0000 0.5038
```

DOS at the Fermi energy: 8.0 states/eV per cell
calculated formation energy: -99.8 meV per atom


Computed, not measured: a geometry-optimized LaNiOs2 structure at the PBEsol level of DFT.

Cell and atoms, written as CIF:
```
data_LaNiOs2
_space_group_name_H-M_alt 'P 4/m m m'
_space_group_IT_number 123
_space_group_name_Hall '-P 4 2'
_cell_length_a 2.9347
_cell_length_b 2.9347
_cell_length_c 7.5880
_cell_angle_alpha 90.00
_cell_angle_beta 90.00
_cell_angle_gamma 90.00
loop_
_atom_site_label
_atom_site_fract_x
_atom_site_fract_y
_atom_site_fract_z
La1 0.0000 0.0000 0.0000
Ni1 0.0000 0.0000 0.5000
Os1 0.5000 0.5000 0.3177
```

energy above the most stable polymorph in this dataset: 45.8 kJ/mol of atoms
DOS at the Fermi energy: 4.6 states/eV per cell
calculated formation energy: 471.0 meV per atom


Computed, not measured: a geometry-optimized RbAg2As structure at the PBEsol level of DFT.

Cell and atoms, written as CIF:
```
data_RbAg2As
_space_group_name_H-M_alt 'I 41/a m d'
_space_group_IT_number 141
_cell_length_a 5.6472
_cell_length_b 5.6472
_cell_length_c 16.0826
_cell_angle_alpha 90.00
_cell_angle_beta 90.00
_cell_angle_gamma 90.00
loop_
_space_group_symop_operation_xyz
'x,y,z'
'-x,-y,-z'
'-y+1/4,x+3/4,z+1/4'
'y+1/4,-x+3/4,-z+1/4'
'-x+1/2,-y,z+1/2'
'x+1/2,y,-z+1/2'
'y+1/4,-x+1/4,z+3/4'
'-y+1/4,x+1/4,-z+3/4'
'x,-y,-z'
'-x,y,z'
'-y+1/4,-x+1/4,-z+3/4'
'y+1/4,x+1/4,z+3/4'
'-x+1/2,y,-z+1/2'
'x+1/2,-y,z+1/2'
'y+1/4,x+3/4,-z+1/4'
'-y+1/4,-x+3/4,z+1/4'
'x+1/2,y+1/2,z+1/2'
'-x+1/2,-y+1/2,-z+1/2'
'-y+3/4,x+1/4,z+3/4'
'y+3/4,-x+1/4,-z+3/4'
'-x,-y+1/2,z'
'x,y+1/2,-z'
'y+3/4,-x+3/4,z+1/4'
'-y+3/4,x+3/4,-z+1/4'
'x+1/2,-y+1/2,-z+1/2'
'-x+1/2,y+1/2,z+1/2'
'-y+3/4,-x+3/4,-z+1/4'
'y+3/4,x+3/4,z+1/4'
'-x,y+1/2,-z'
'x,-y+1/2,z'
'y+3/4,x+1/4,-z+3/4'
'-y+3/4,-x+1/4,z+3/4'
loop_
_atom_site_label
_atom_site_fract_x
_atom_site_fract_y
_atom_site_fract_z
Rb1 0.0000 0.2500 0.3750
Ag1 0.0000 0.0000 0.0000
As1 0.0000 0.2500 0.8750
```

DOS at the Fermi energy: 0.1 states/eV per cell
calculated formation energy: -78.1 meV per atom


Computed, not measured: a geometry-optimized ScFe2Mo structure at the PBEsol level of DFT.

Cell and atoms, written as CIF:
```
data_ScFe2Mo
_space_group_name_H-M_alt 'P 4 m m'
_space_group_IT_number 99
_cell_length_a 2.9648
_cell_length_b 2.9648
_cell_length_c 6.4714
_cell_angle_alpha 90.00
_cell_angle_beta 90.00
_cell_angle_gamma 90.00
loop_
_space_group_symop_operation_xyz
'x,y,z'
'-y,x,z'
'-x,-y,z'
'y,-x,z'
'-x,y,z'
'y,x,z'
'x,-y,z'
'-y,-x,z'
loop_
_atom_site_label
_atom_site_fract_x
_atom_site_fract_y
_atom_site_fract_z
Sc1 0.0000 0.0000 0.0000
Fe1 0.0000 0.0000 0.4714
Fe2 0.5000 0.5000 0.2721
Mo1 0.5000 0.5000 0.6881
```

DOS at the Fermi energy: 3.5 states/eV per cell
calculated formation energy: 117.0 meV per atom


Computed, not measured: a geometry-optimized BaCaI3 structure at the PBEsol level of DFT.

Cell and atoms, written as CIF:
```
data_BaCaI3
_space_group_name_H-M_alt 'P m -3 m'
_space_group_IT_number 221
_space_group_name_Hall '-P 4 2 3'
_cell_length_a 6.5619
_cell_length_b 6.5619
_cell_length_c 6.5619
_cell_angle_alpha 90.00
_cell_angle_beta 90.00
_cell_angle_gamma 90.00
loop_
_atom_site_label
_atom_site_fract_x
_atom_site_fract_y
_atom_site_fract_z
Ba1 0.0000 0.0000 0.0000
Ca1 0.5000 0.5000 0.5000
I1 0.0000 0.0000 0.5000
```

energy relative to the elements, uncorrected: -1.0008 eV/atom
DOS at the Fermi energy: 1.7 states/eV per cell


Computed, not measured: a geometry-optimized BeRh2Pb structure at the PBEsol level of DFT.

Cell and atoms, written as CIF:
```
data_BeRh2Pb
_space_group_name_H-M_alt 'I m m 2'
_space_group_IT_number 44
_cell_length_a 3.0353
_cell_length_b 3.7452
_cell_length_c 10.5813
_cell_angle_alpha 90.00
_cell_angle_beta 90.00
_cell_angle_gamma 90.00
loop_
_space_group_symop_operation_xyz
'x,y,z'
'-x,-y,z'
'-x,y,z'
'x,-y,z'
'x+1/2,y+1/2,z+1/2'
'-x+1/2,-y+1/2,z+1/2'
'-x+1/2,y+1/2,z+1/2'
'x+1/2,-y+1/2,z+1/2'
loop_
_atom_site_label
_atom_site_fract_x
_atom_site_fract_y
_atom_site_fract_z
Be1 0.0000 0.0000 0.0000
Rh1 0.0000 0.0000 0.5434
Rh2 0.0000 0.5000 0.3410
Pb1 0.0000 0.5000 0.7297
```

energy above the most stable polymorph in this dataset: 10.6 kJ/mol of atoms
DOS at the Fermi energy: 3.4 states/eV per cell
calculated formation energy: 11.1 meV per atom


Total magnetization: 3.90; 0.00; 0.20; 0.60; 0.00; 0.00; 0.00; 0.00; 0.00; 3.63; 0.90; 0.00 (μB/cell)